# Nb2Se3, relaxed, DFT PBE
# Total moment   0.00 Bohr magnetons per cell
# Calculated total energy   -0.506 Ry per atom
# ρ   6097 kg/m3
data_Nb2Se3
_chemical_formula_sum 'Nb8 Se12'
_cell_length_a 14.738
_cell_length_b 3.458
_cell_length_c 9.034
_cell_angle_alpha 90.00
_cell_angle_beta 90.00
_cell_angle_gamma 90.00
_symmetry_space_group_name_H-M 'P n m a'
_symmetry_Int_Tables_number 62
_symmetry_space_group_name_Hall '-P 2ac 2n'
loop_
_atom_site_label
_atom_site_type_symbol
_atom_site_fract_x
_atom_site_fract_y
_atom_site_fract_z
Nb1 Nb 0.026 0.250 0.199
Nb2 Nb 0.077 0.750 0.456
Se1 Se 0.092 0.250 0.687
Se2 Se 0.102 0.750 0.019
Se3 Se 0.184 0.250 0.334